First-principles (GGA-PBE) data for a relaxed Al2P2Ir crystal, as listed in Alexandria via LeMat-Bulk.

Summary:
Polymorph energy (0 for the lowest one) ... 0.0000 eV/atom

Cell: 6.580 6.580 3.523 Å, 90.00 90.00 90.00°
Positions (direct):
Al (0.143, 0.357, 0.000)
Al (0.357, 0.857, 0.000)
Al (0.643, 0.143, 0.000)
Al (0.857, 0.643, 0.000)
P (0.172, 0.672, 0.500)
P (0.328, 0.172, 0.500)
P (0.672, 0.828, 0.500)
P (0.828, 0.328, 0.500)
Ir (0.000, 0.000, 0.500)
Ir (0.500, 0.500, 0.500)


First-principles (GGA-PBE) data for a relaxed Al2PIr crystal, as listed in Alexandria via LeMat-Bulk.

Cell: 4.212 4.212 4.710 Å, 105.26 105.26 110.22°
Positions (direct):
Al (0.000, 0.000, 0.000)
Al (0.778, 0.222, 0.500)
P (0.425, 0.575, 0.500)
Ir (0.358, 0.642, 0.000)


no.,V (A^3/atom),total energy (eV/atom)
1,15.3,-5.461
2,17.4,-5.856